Crystalline CsSmCu at its relaxed geometry, computed with PBE.

Geometry as POSCAR:
```
CsSmCu
1.0
0.000 3.774 3.774
3.774 0.000 3.774
3.774 3.774 0.000
Cs Sm Cu
1 1 1
Direct
0.250 0.250 0.250
0.750 0.750 0.750
0.000 0.000 0.000
```

Symmetry ... F-43m, No. 216
Energy above the most stable polymorph in this dataset ... 0 meV/atom
Total magnetic moment ... 0.02 μB/cell

Crystalline TaIn2F6 at its relaxed geometry, computed with PBE.

Geometry as POSCAR:
```
TaIn2F6
1.0
5.526 0.000 0.000
2.468 5.057 0.000
2.586 1.627 4.813
In F Ta
2 6 1
Direct
0.760 0.748 0.745
0.240 0.252 0.255
0.248 0.241 0.732
0.752 0.759 0.268
0.247 0.734 0.236
0.732 0.242 0.237
0.753 0.266 0.764
0.268 0.758 0.763
0.000 0.000 0.000
```

Uncorrected energy ... -5.47 eV per atom
Symmetry ... P-1, No. 2
Total magnetic moment ... 1.00 μB/cell